No. 1
MnCr: relaxed, GGA-PBEsol.

Formation enthalpy at 0 K: 0.237 eV per atom
Uncorrected energy: -39.057 eV for the cell shown

abc: 2.4527 2.4527 8.3537
angles: 90.00 90.00 120.00
With the nearest neighbours (Å) after each atom.
Fractional coordinates of all 4 atoms:
Mn 0.3333 0.6667 0.3850  9 Mn 2.39-2.45, 3 Cr 2.54
Mn 0.6667 0.3333 0.6150  9 Mn 2.39-2.45, 3 Cr 2.54
Cr 0.3333 0.6667 0.8681  9 Cr 2.45-2.62, 3 Mn 2.54
Cr 0.6667 0.3333 0.1319  9 Cr 2.45-2.62, 3 Mn 2.54

***

No. 2
BaLa2Co: relaxed, GGA-PBEsol.

Formation enthalpy at 0 K: 0.476 eV per atom
ΔE to the lowest computed polymorph: 504 meV/atom
Uncorrected energy: -18.674 eV for the cell shown

abc: 5.3783 5.3783 5.3783
angles: 121.66 121.66 87.14
With the nearest neighbours (Å) after each atom.
Fractional coordinates of all 4 atoms:
Ba 0.0000 0.0000 0.0000  8 La 3.27
La 0.2500 0.7500 0.5000  4 Co 3.27, 4 Ba 3.27
La 0.7500 0.2500 0.5000  4 Co 3.27, 4 Ba 3.27
Co 0.5000 0.5000 0.0000  8 La 3.27

***

No. 3
MnIn3Re: relaxed, GGA-PBEsol.

Formation enthalpy at 0 K: 1.001 eV per atom
Uncorrected energy: -27.035 eV for the cell shown

abc: 5.1399 5.1399 5.1399
angles: 90.00 90.00 90.00
With the nearest neighbours (Å) after each atom.
Fractional coordinates of all 5 atoms:
Mn 0.0000 0.0000 0.0000  12 In 3.63
In 0.0000 0.5000 0.5000  2 Re 2.57
In 0.5000 0.0000 0.5000  2 Re 2.57
In 0.5000 0.5000 0.0000  2 Re 2.57
Re 0.5000 0.5000 0.5000  6 In 2.57

***

No. 4
Cu2Pt: relaxed, GGA-PBEsol.

Formation enthalpy at 0 K: -0.102 eV per atom
ΔE to the lowest computed polymorph: 24 meV/atom
Uncorrected energy: -15.937 eV for the cell shown

abc: 5.3154 5.3154 5.3154
angles: 149.90 149.90 43.09
With the nearest neighbours (Å) after each atom.
Fractional coordinates of all 3 atoms:
Cu 0.1740 0.1740 0.0000  4 Cu 2.46, 4 Pt 2.60
Cu 0.8260 0.8260 0.0000  4 Cu 2.46, 4 Pt 2.60
Pt 0.5000 0.5000 0.0000  8 Cu 2.60, 4 Pt 2.76

***

No. 5
Mn2CdMoP: relaxed, GGA-PBEsol.

Formation enthalpy at 0 K: 1.592 eV per atom
Uncorrected energy: -30.318 eV for the cell shown

abc: 4.4122 4.4122 5.2058
angles: 90.00 90.00 90.00
With the nearest neighbours (Å) after each atom.
Fractional coordinates of all 5 atoms:
Mn 0.0000 0.5000 0.0000  2 Mo 2.21
Mn 0.5000 0.0000 0.0000  2 Mo 2.21
Cd 0.0000 0.0000 0.5000  2 Mo 2.60
Mo 0.0000 0.0000 0.0000  4 Mn 2.21
P 0.5000 0.5000 0.5000  4 Cd 3.12, 8 Mn 3.41

***

No. 6
Si2Pd2Au: relaxed, GGA-PBEsol.

Raw formation energy: -28.4 kJ/mol of atoms
Uncorrected energy: -28.807 eV for the cell shown

abc: 6.4247 6.4247 6.4247
angles: 147.35 147.35 46.85
With the nearest neighbours (Å) after each atom.
Fractional coordinates of all 5 atoms:
Si 0.2500 0.7500 0.5000  4 Pd 2.40, 4 Si 2.55
Si 0.7500 0.2500 0.5000  4 Pd 2.40, 4 Si 2.55
Pd 0.1157 0.1157 0.0000  4 Si 2.40
Pd 0.8843 0.8843 0.0000  4 Si 2.40
Au 0.5000 0.5000 0.0000  8 Pd 2.90

***

No. 7
YMoN3: relaxed, GGA-PBEsol.

Raw formation energy: 151.0 kJ/mol of atoms
Uncorrected energy: -36.342 eV for the cell shown

abc: 4.1941 4.1941 4.1941
angles: 90.00 90.00 90.00
With the nearest neighbours (Å) after each atom.
Fractional coordinates of all 5 atoms:
Y 0.0000 0.0000 0.0000  6 N 2.10
Mo 0.5000 0.5000 0.5000  12 N 2.97
N 0.0000 0.0000 0.5000  2 Y 2.10
N 0.0000 0.5000 0.0000  2 Y 2.10
N 0.5000 0.0000 0.0000  2 Y 2.10

***

No. 8
Zn2BRh2: relaxed, GGA-PBEsol.

Formation enthalpy at 0 K: -0.354 eV per atom
Uncorrected energy: -56.455 eV for the cell shown

abc: 5.6134 5.6134 4.0539
angles: 90.00 90.00 90.00
With the nearest neighbours (Å) after each atom.
Fractional coordinates of all 10 atoms:
Zn 0.1546 0.3454 0.0000  1 Zn 2.45, 6 Rh 2.48-2.71
Zn 0.3454 0.8454 0.0000  1 Zn 2.45, 6 Rh 2.48-2.71
Zn 0.6546 0.1546 0.0000  1 Zn 2.45, 6 Rh 2.48-2.71
Zn 0.8454 0.6546 0.0000  1 Zn 2.45, 6 Rh 2.48-2.71
B 0.0000 0.0000 0.5000  4 Rh 2.10
B 0.5000 0.5000 0.5000  4 Rh 2.10
Rh 0.1648 0.6648 0.5000  2 B 2.10
Rh 0.3352 0.1648 0.5000  2 B 2.10
Rh 0.6648 0.8352 0.5000  2 B 2.10
Rh 0.8352 0.3352 0.5000  2 B 2.10

***

Number 1: volume 10.88 Å³ per atom. Number 2: volume 26.78 Å³ per atom. Number 3: volume 27.16 Å³ per atom. Number 4: volume 12.56 Å³ per atom. Number 5: volume 20.27 Å³ per atom. Number 6: volume 15.38 Å³ per atom. Number 7: volume 14.76 Å³ per atom. Number 8: volume 12.77 Å³ per atom.